[1]
# GdTm2In3PtAu2

GdTm2In3PtAu2 after structural relaxation (PBE, OQMD via LeMat-Bulk).

a = 3.9389 Å, b = 7.7020 Å, c = 7.7020 Å
α = 120.17°, β = 90.00°, γ = 90.00°
With the nearest neighbours (Å) after each atom.
Positions (direct):
Gd (0.0000, 0.0000, 0.0000)  4 Au 3.09, 1 Pt 3.11, 6 In 3.27-3.36
Tm (0.0000, 0.1977, 0.5980)  4 Au 3.05, 1 Pt 3.07, 6 In 3.30-3.35
Tm (0.0000, 0.5980, 0.1977)  4 Au 3.05, 1 Pt 3.07, 6 In 3.30-3.35
In (0.5000, 0.3404, 0.3404)  2 Pt 2.77, 2 Au 2.92
In (0.5000, 0.5971, 0.8542)  2 Pt 2.80, 2 Au 2.87-2.92
In (0.5000, 0.8542, 0.5971)  2 Pt 2.80, 2 Au 2.87-2.92
Pt (0.0000, 0.5946, 0.5946)  6 In 2.77-2.80, 2 Tm 3.07
Au (0.5000, 0.2681, 0.9296)  3 In 2.87-2.92, 4 Tm 3.05, 2 Gd 3.09
Au (0.5000, 0.9296, 0.2681)  3 In 2.87-2.92, 4 Tm 3.05, 2 Gd 3.09

Output
electronic total energy	-41.9	eV per cell

---

[2]
# Gd2YIn3PtAu2

Gd2YIn3PtAu2 after structural relaxation (PBE, OQMD via LeMat-Bulk).

a = 3.9642 Å, b = 7.7498 Å, c = 7.7498 Å
α = 119.99°, β = 90.00°, γ = 90.00°
With the nearest neighbours (Å) after each atom.
Positions (direct):
Gd (0.0000, 0.2005, 0.7995)  4 Au 3.09, 1 Pt 3.11, 6 In 3.31-3.37
Gd (0.0000, 0.7995, 0.2005)  4 Au 3.09, 1 Pt 3.11, 6 In 3.31-3.37
Y (0.0000, 0.6015, 0.6015)  4 Au 3.09, 1 Pt 3.11, 6 In 3.31-3.37
In (0.5000, 0.2007, 0.4570)  2 Pt 2.81, 2 Au 2.93
In (0.5000, 0.4570, 0.2007)  2 Pt 2.81, 2 Au 2.93
In (0.5000, 0.9440, 0.9440)  2 Pt 2.81, 2 Au 2.93
Pt (0.0000, 0.2005, 0.2005)  6 In 2.81, 1 Y 3.11, 2 Gd 3.11
Au (0.5000, 0.5339, 0.8671)  3 In 2.93, 2 Y 3.09, 4 Gd 3.09
Au (0.5000, 0.8671, 0.5339)  3 In 2.93, 2 Y 3.09, 4 Gd 3.09

Output
electronic total energy	-44.1	eV per cell

---

[3]
# GdY2In3Pt2Au

GdY2In3Pt2Au after structural relaxation (PBE, OQMD via LeMat-Bulk).

a = 3.8182 Å, b = 7.8048 Å, c = 7.8048 Å
α = 120.02°, β = 90.00°, γ = 90.00°
With the nearest neighbours (Å) after each atom.
Positions (direct):
Gd (0.0000, 0.0000, 0.0000)  4 Pt 3.04, 6 In 3.17-3.39, 1 Au 3.18
Y (0.0000, 0.1846, 0.5921)  4 Pt 3.04, 6 In 3.17-3.39, 1 Au 3.18
Y (0.0000, 0.5921, 0.1846)  4 Pt 3.04, 6 In 3.17-3.39, 1 Au 3.18
In (0.5000, 0.3239, 0.3239)  2 Au 2.83, 2 Pt 2.89, 2 Gd 3.17
In (0.5000, 0.5915, 0.8608)  2 Au 2.84, 2 Pt 2.88-2.89, 2 Y 3.17
In (0.5000, 0.8608, 0.5915)  2 Au 2.84, 2 Pt 2.88-2.89, 2 Y 3.17
Pt (0.5000, 0.2588, 0.9252)  3 In 2.88-2.89, 4 Y 3.04, 2 Gd 3.04
Pt (0.5000, 0.9252, 0.2588)  3 In 2.88-2.89, 4 Y 3.04, 2 Gd 3.04
Au (0.0000, 0.5920, 0.5920)  6 In 2.83-2.84

Output
electronic total energy	-49.4	eV per cell

---

[4]
# GdY2In3PtAu2

GdY2In3PtAu2 after structural relaxation (PBE, OQMD via LeMat-Bulk).

a = 3.9587 Å, b = 7.7411 Å, c = 7.7411 Å
α = 120.02°, β = 90.00°, γ = 90.00°
With the nearest neighbours (Å) after each atom.
Positions (direct):
Gd (0.0000, 0.0000, 0.0000)  4 Au 3.08, 1 Pt 3.10, 6 In 3.31-3.37
Y (0.0000, 0.4011, 0.8021)  4 Au 3.08, 1 Pt 3.10, 6 In 3.31-3.37
Y (0.0000, 0.8021, 0.4011)  4 Au 3.08, 1 Pt 3.10, 6 In 3.31-3.37
In (0.5000, 0.1446, 0.4012)  2 Pt 2.80, 2 Au 2.92
In (0.5000, 0.4012, 0.1446)  2 Pt 2.80, 2 Au 2.92
In (0.5000, 0.6575, 0.6575)  2 Pt 2.80, 2 Au 2.92
Pt (0.0000, 0.4011, 0.4011)  6 In 2.80, 2 Y 3.10, 1 Gd 3.10
Au (0.5000, 0.0678, 0.7343)  3 In 2.92, 4 Y 3.08, 2 Gd 3.08
Au (0.5000, 0.7343, 0.0678)  3 In 2.92, 4 Y 3.08, 2 Gd 3.08

Output
electronic total energy	-46.0	eV per cell